No. 1
This record from Alexandria describes crystalline Sr2PrRe2N6 at its relaxed geometry. The functional is GGA-PBE.

Unit cell a=10.7385 b=6.2095 c=7.1793 alpha=90.00 beta=123.63 gamma=90.00
Space group C2/m (No. 12)
Inequivalent atoms, fractional coordinates:
Sr  0.2131  0.0000  0.1727 x4
Pr  0.0000  0.0000  0.5000 x2
Re  0.0286  0.5000  0.1993 x4
N  0.0700  0.2622  0.7974 x8
N  0.2286  0.5000  0.3893 x4

Energy relative to the elements, uncorrected   -65.65 kJ/mol of atoms
D(E_F)   8.1 states/eV/cell
Crystal system   monoclinic

No. 2
This record from Alexandria describes crystalline Fe2RuPb at its relaxed geometry. The functional is GGA-PBE.

Unit cell a=3.0874 b=3.6776 c=5.7278 alpha=90.00 beta=90.00 gamma=90.00
Space group Pmmm (No. 47)
Inequivalent atoms, fractional coordinates:
Fe  0.0000  0.0000  0.1989 x2
Ru  0.5000  0.5000  0.0000 x1
Pb  0.5000  0.5000  0.5000 x1

ΔH_f (0 K)   1.85 eV per formula unit
D(E_F)   3.9 states/eV/cell
Crystal system   orthorhombic

No. 3
This record from Alexandria describes crystalline Dy4TlTe2P at its relaxed geometry. The functional is GGA-PBE.

Unit cell a=7.4878 b=4.1803 c=7.5000 alpha=90.00 beta=108.32 gamma=90.00
Space group P2/m (No. 10)
Inequivalent atoms, fractional coordinates:
Dy  0.2271  0.0000  0.2182 x2
Dy  0.2421  0.5000  0.7652 x2
Tl  0.5000  0.0000  0.0000 x1
Te  0.0000  0.0000  0.5000 x1
Te  0.5000  0.5000  0.5000 x1
P  0.0000  0.5000  0.0000 x1

Energy relative to the elements, uncorrected   -109.49 kJ/mol of atoms
D(E_F)   2.9 states/eV/cell
Crystal system   monoclinic

No. 4
This record from Alexandria describes crystalline LiSO2F at its relaxed geometry. The functional is GGA-PBE.

Unit cell a=3.7560 b=3.7560 c=3.3866 alpha=90.00 beta=90.00 gamma=90.00
Space group P4/mmm (No. 123)
Inequivalent atoms, fractional coordinates:
Li  0.0000  0.0000  0.0000 x1
S  0.5000  0.5000  0.5000 x1
O  0.0000  0.5000  0.0000 x2
F  0.0000  0.0000  0.5000 x1

Energy relative to the elements, uncorrected   8.88 kJ/mol of atoms
D(E_F)   3.1 states/eV/cell
Crystal system   tetragonal

No. 5
This record from Alexandria describes crystalline CuIr2O6 at its relaxed geometry. The functional is GGA-PBE.

Unit cell a=8.6807 b=8.6807 c=4.3155 alpha=90.00 beta=90.00 gamma=120.00
Space group P321 (No. 150)
Inequivalent atoms, fractional coordinates:
Cu  0.0000  0.0000  0.0000 x1
Cu  0.3333  0.6667  0.5003 x2
Ir  0.0000  0.3196  0.5000 x3
Ir  0.0000  0.6529  0.0000 x3
O  0.1050  0.8809  0.7581 x6
O  0.1092  0.5430  0.7466 x6
O  0.2192  0.7759  0.2533 x6

Energy relative to the elements, uncorrected   -59.90 kJ/mol of atoms
D(E_F)   25.1 states/eV/cell
Crystal system   trigonal

No. 6
This record from Alexandria describes crystalline Sb2Pd2Pb at its relaxed geometry. The functional is GGA-PBE.

Unit cell a=4.6313 b=4.6313 c=11.2025 alpha=90.00 beta=90.00 gamma=90.00
Space group I4/mmm (No. 139)
Inequivalent atoms, fractional coordinates:
Sb  0.0000  0.0000  0.1292 x4
Pd  0.0000  0.5000  0.2500 x4
Pb  0.0000  0.0000  0.5000 x2

Energy relative to the elements, uncorrected   -21.81 kJ/mol of atoms
D(E_F)   5.3 states/eV/cell
Crystal system   tetragonal
Energy above the lowest structure with this stoichiometry   26 meV per atom

No. 7
This record from Alexandria describes crystalline ScTa2VC4 at its relaxed geometry. The functional is GGA-PBE.

Unit cell a=3.1357 b=10.9089 c=11.2072 alpha=90.00 beta=90.00 gamma=90.00
Space group Cmcm (No. 63)
Inequivalent atoms, fractional coordinates:
Sc  0.0000  0.1208  0.2500 x4
Ta  0.0000  0.3678  0.0375 x8
V  0.0000  0.1482  0.7500 x4
C  0.0000  0.0000  0.0000 x4
C  0.0000  0.2619  0.6189 x8
C  0.0000  0.4585  0.2500 x4

ΔH_f (0 K)   -2.93 eV per formula unit
D(E_F)   11.2 states/eV/cell
Crystal system   orthorhombic

No. 8
This record from Alexandria describes crystalline CeHfSc2P4 at its relaxed geometry. The functional is GGA-PBE.

Unit cell a=6.5817 b=3.8266 c=6.6423 alpha=90.00 beta=109.42 gamma=90.00
Space group P2/m (No. 10)
Inequivalent atoms, fractional coordinates:
Ce  0.0000  0.0000  0.0000 x1
Hf  0.0000  0.5000  0.5000 x1
Sc  0.5000  0.0000  0.5000 x1
Sc  0.5000  0.5000  0.0000 x1
P  0.2529  0.0000  0.7404 x2
P  0.2616  0.5000  0.2659 x2

ΔH_f (0 K)   -11.43 eV per formula unit
D(E_F)   5.2 states/eV/cell
Crystal system   monoclinic